Density functional theory data (PBE) for an optimized crystal structure of LaCdW3.

As for the symmetry: Pm-3m (221). The calculation puts the energy of formation at 2.82 eV/atom.

The structure in POSCAR format:
```
LaCdW3
1.0
4.893 0.000 0.000
0.000 4.893 0.000
0.000 0.000 4.893
Cd W La
1 3 1
Cartesian
2.447 2.447 2.447 Cd
0.000 0.000 2.447 W
0.000 2.447 0.000 W
2.447 0.000 0.000 W
0.000 0.000 0.000 La
```

---

Density functional theory data (PBE) for an optimized crystal structure of LaCdW2.

As for the symmetry: Pmmm (47). The calculation puts the energy of formation at 0.84 eV/atom.

The structure in POSCAR format:
```
LaCdW2
1.0
2.810 0.000 0.000
0.000 4.646 0.000
0.000 0.000 6.592
La Cd W
1 1 2
Cartesian
1.405 2.323 4.944 La
1.405 2.323 1.648 Cd
0.000 0.000 0.379 W
0.000 0.000 2.917 W
```

---

Density functional theory data (PBE) for an optimized crystal structure of LaCd2W.

As for the symmetry: I-42d (122). The calculation puts the energy of formation at 0.79 eV/atom.

The structure in POSCAR format:
```
LaCd2W
1.0
-2.226 -3.502 1.035
3.542 -1.776 1.609
-1.607 1.684 11.079
W La Cd
2 2 4
Cartesian
-1.587 -2.229 6.718 W
0.000 0.000 0.000 W
0.658 -2.639 1.322 La
1.297 -1.366 7.005 La
0.101 -3.433 10.693 Cd
1.631 -0.974 3.860 Cd
-0.866 -0.639 9.231 Cd
-1.447 -2.142 3.663 Cd
```

---

Density functional theory data (PBE) for an optimized crystal structure of LaCdW2.

As for the symmetry: Pmmm (47). The calculation puts the energy of formation at 0.88 eV/atom.

The structure in POSCAR format:
```
LaCdW2
1.0
3.384 0.000 0.000
0.000 4.908 0.000
0.000 0.000 4.986
W Cd La
2 1 1
Cartesian
0.000 0.000 0.000 W
1.692 2.454 0.000 W
1.692 0.000 2.493 Cd
0.000 2.454 2.493 La
```

---

Density functional theory data (PBE) for an optimized crystal structure of LaCd2W.

As for the symmetry: Imm2 (44). The calculation puts the energy of formation at 0.53 eV/atom.

The structure in POSCAR format:
```
LaCd2W
1.0
6.344 0.036 0.004
3.144 5.511 -0.004
-3.878 -4.255 2.666
W La Cd
1 1 2
Cartesian
1.914 1.961 1.331 W
4.509 2.636 0.000 La
0.186 0.109 0.000 Cd
3.746 -0.640 1.335 Cd
```

---

Density functional theory data (PBE) for an optimized crystal structure of LaCd2W.

As for the symmetry: I4/mmm (139). The calculation puts the energy of formation at 0.47 eV/atom.

The structure in POSCAR format:
```
LaCd2W
1.0
-0.291 -5.255 2.049
1.809 -3.964 -3.594
2.093 4.890 1.898
W La Cd
1 1 2
Cartesian
1.280 -2.487 1.587 W
2.331 -1.841 -1.234 La
0.759 -4.609 -0.772 Cd
0.000 0.000 0.000 Cd
```

---

Density functional theory data (PBE) for an optimized crystal structure of LaCd3W.

As for the symmetry: Pm-3m (221). The calculation puts the energy of formation at 1.97 eV/atom.

The structure in POSCAR format:
```
LaCd3W
1.0
5.964 0.000 0.000
0.000 5.964 0.000
0.000 0.000 5.964
La Cd W
1 3 1
Cartesian
0.000 0.000 0.000 La
0.000 2.982 0.000 Cd
2.982 0.000 0.000 Cd
0.000 0.000 2.982 Cd
2.982 2.982 2.982 W
```

---

Density functional theory data (PBE) for an optimized crystal structure of LaCd2W.

As for the symmetry: C2/m (12). The calculation puts the energy of formation at 0.46 eV/atom.

The structure in POSCAR format:
```
LaCd2W
1.0
5.704 -0.012 -0.143
4.912 2.900 -0.143
1.106 0.301 5.422
W La Cd
1 1 2
Cartesian
8.791 2.392 3.852 W
2.930 0.797 1.284 La
5.723 1.557 2.735 Cd
1.244 0.338 5.255 Cd
```

---

Density functional theory data (PBE) for an optimized crystal structure of LaCd2W.

As for the symmetry: Cm (8). The calculation puts the energy of formation at 0.47 eV/atom.

The structure in POSCAR format:
```
LaCd2W
1.0
-2.281 -3.907 -3.542
0.568 -3.638 -4.410
1.185 -5.065 2.326
Cd W La
2 1 1
Cartesian
-0.003 -0.460 -0.153 Cd
-0.229 -3.012 -1.682 Cd
-0.430 -8.950 -4.178 W
-0.128 -6.493 -2.427 La
```

---

Density functional theory data (PBE) for an optimized crystal structure of LaCdW.

As for the symmetry: P3m1 (156). The calculation puts the energy of formation at 0.65 eV/atom.

The structure in POSCAR format:
```
LaCdW
1.0
-3.537 0.887 3.747
-1.558 -0.848 -4.918
-0.146 -2.856 0.538
La Cd W
1 1 1
Cartesian
-2.926 -0.644 1.038 La
-0.122 -2.388 0.450 Cd
-2.339 -2.642 -1.583 W
```

---

Density functional theory data (PBE) for an optimized crystal structure of La3CdW.

As for the symmetry: Pm-3m (221). The calculation puts the energy of formation at 0.33 eV/atom.

The structure in POSCAR format:
```
La3CdW
1.0
5.594 0.000 0.000
0.000 5.594 0.000
0.000 0.000 5.594
La Cd W
3 1 1
Cartesian
0.000 2.797 0.000 La
0.000 0.000 2.797 La
2.797 0.000 0.000 La
2.797 2.797 2.797 Cd
0.000 0.000 0.000 W
```

---

Density functional theory data (PBE) for an optimized crystal structure of LaCd2W.

As for the symmetry: Pm (6). The calculation puts the energy of formation at 0.50 eV/atom.

The structure in POSCAR format:
```
LaCd2W
1.0
-2.669 -0.840 -3.859
1.435 -2.548 -0.437
-3.629 -4.312 3.449
La Cd W
1 2 1
Cartesian
-1.181 -3.282 1.532 La
-2.032 -1.578 -1.195 Cd
-3.260 -4.708 3.280 Cd
-3.116 -5.876 0.491 W
```

---

Q: Which value of energy of formation does entry 9 give?
A: 0.47 eV/atom